BaZn4Te3O12: optimized geometry, GGA-PBE.

Calculated values
Crystal system: trigonal
Symmetry: R32
Formation energy without anion corrections, eV/atom: -1.24

a = 7.138 Å, b = 7.138 Å, c = 7.138 Å
α = 106.58°, β = 106.58°, γ = 106.58°
Element x y z (fractional)
Ba  0.000  0.000  0.000
Zn  0.063  0.500  0.937
Zn  0.500  0.500  0.500
Zn  0.500  0.937  0.063
Zn  0.937  0.063  0.500
Te  0.000  0.557  0.443
Te  0.443  0.000  0.557
Te  0.557  0.443  0.000
O  0.024  0.640  0.748
O  0.105  0.895  0.500
O  0.252  0.360  0.976
O  0.332  0.668  0.500
O  0.360  0.976  0.252
O  0.500  0.105  0.895
O  0.500  0.332  0.668
O  0.640  0.748  0.024
O  0.668  0.500  0.332
O  0.748  0.024  0.640
O  0.895  0.500  0.105
O  0.976  0.252  0.360